No. 1
Material: Ag5SnS5
Method: DFT, PBE
State: relaxed

Cell lengths 12.0809, 5.2398, 7.4917 Å; angles 90.00, 107.84, 90.00 degrees
Last column: nearest neighbours and their distance in Å.
Space group C2/m (No. 12)
One atom of each set of equivalent atoms:
Ag (0.0000, 0.0000, 0.0000)  4 S 2.48-2.73
Ag (0.1551, 0.5000, 0.8458)  4 S 2.63-2.71
Ag (0.1619, 0.5000, 0.3217)  4 S 2.61-2.68
Sn (0.0000, 0.0000, 0.5000)  6 S 2.57-2.66
S (0.0000, 0.5000, 0.5000)  2 Sn 2.62, 4 Ag 2.68-2.69
S (0.1471, 0.0000, 0.3149)  3 Ag 2.48-2.63, 1 Sn 2.57
S (0.1684, 0.0000, 0.8264)  5 Ag 2.61-2.73, 1 Sn 2.66

Properties
- crystal system = monoclinic
- formation energy from raw total energies (eV per atom) = -0.07
- magnetic moment (μB/f.u.) = 0.0

---

No. 2
Material: AgSn3S
Method: DFT, PBE
State: relaxed

Cell lengths 5.3090, 5.3090, 5.3090 Å; angles 90.00, 90.00, 90.00 degrees
Last column: nearest neighbours and their distance in Å.
Space group Pm-3m (No. 221)
One atom of each set of equivalent atoms:
Ag (0.0000, 0.0000, 0.0000)  6 Sn 2.65
Sn (0.0000, 0.0000, 0.5000)  2 Ag 2.65
S (0.5000, 0.5000, 0.5000)  12 Sn 3.75

Properties
- crystal system = cubic
- formation energy from raw total energies (eV per atom) = 0.50
- E above lowest polymorph (eV/atom) = 0.1092
- magnetic moment (μB/f.u.) = 0.0

---

No. 3
Material: Ag4SnS4
Method: DFT, PBE
State: relaxed

Cell lengths 6.2884, 6.2884, 10.2205 Å; angles 90.00, 90.00, 90.00 degrees
Last column: nearest neighbours and their distance in Å.
Space group I-42m (No. 121)
One atom of each set of equivalent atoms:
Ag (0.0000, 0.0000, 0.1432)  2 S 2.54
Ag (0.0000, 0.5000, 0.0000)  4 S 2.72
Sn (0.0000, 0.0000, 0.5000)  4 S 2.45
S (0.2147, 0.2147, 0.6497)  1 Sn 2.45, 3 Ag 2.54-2.72

Properties
- crystal system = tetragonal
- formation energy from raw total energies (eV per atom) = -0.05
- magnetic moment (μB/f.u.) = 0.0

---

Question: What is the magnetic moment in the first record?
Answer: 0.0 μB/f.u.